1.
DFT (PBE-GGA) results for a geometry-optimized MgScBe2 structure.

Output
Mass density in g cm⁻³: 2.1
Energy of formation from the pure elements in eV per atom: 0.491
Space-group type: R-3m (166)
Total magnetization in μB/f.u.: 0.00

abc: 8.529 8.528 8.528
angles: 20.68 20.68 20.68
Element x y z (fractional)
Sc: 0.750 0.750 0.750
Be: 0.000 0.000 0.000
Be: 0.500 0.500 0.500
Mg: 0.250 0.250 0.250

***

2.
DFT (PBE-GGA) results for a geometry-optimized LaDyPd2 structure.

Output
Energy relative to the lowest polymorph listed for this composition in meV/atom: 73
Mass density in g cm⁻³: 9.1
Energy of formation from the pure elements in eV per atom: -0.792
Space-group type: Fm-3m (225)
Total magnetization in μB/f.u.: 0.00

abc: 5.094 5.094 5.094
angles: 60.00 60.00 60.00
Element x y z (fractional)
Pd: 0.750 0.750 0.750
Pd: 0.250 0.250 0.250
La: 0.500 0.500 0.500
Dy: 0.000 0.000 0.000